Record 1
DFT (GGA-PBE) results for an optimized crystal structure of KNpSe2O8.

Results
E_tot in eV/atom: -6.49
Raw formation energy in eV per formula unit: -17.166
Total moment in Bohr magnetons per cell: 0.1

Cell lengths 6.2633, 6.2633, 7.4134 Å; angles 90.00, 90.00, 120.00 degrees
Element x y z (fractional)
K 0.0000 0.0000 0.0000
Np 0.0000 0.0000 0.5000
Se 0.3333 0.6667 0.3001
Se 0.6667 0.3333 0.6999
O 0.1498 0.2997 0.3355
O 0.1498 0.8502 0.3355
O 0.2997 0.1498 0.6645
O 0.3333 0.6667 0.0802
O 0.6667 0.3333 0.9198
O 0.7003 0.8502 0.3355
O 0.8502 0.1498 0.6645
O 0.8502 0.7003 0.6645


Record 2
DFT (GGA-PBE) results for an optimized crystal structure of CoCuCl2.

Results
E_tot in eV/atom: -3.63
Raw formation energy in eV per formula unit: 0.395
Total moment in Bohr magnetons per cell: 4.0
Polymorph energy (0 for the lowest one) in eV/f.u.: 0.93

Cell lengths 3.2347, 6.3704, 7.1261 Å; angles 90.00, 90.00, 90.00 degrees
Element x y z (fractional)
Co 0.0000 0.0000 0.0000
Co 0.5000 0.5000 0.0000
Cu 0.0000 0.0000 0.5000
Cu 0.5000 0.5000 0.5000
Cl 0.0000 0.5000 0.2483
Cl 0.0000 0.5000 0.7517
Cl 0.5000 0.0000 0.2483
Cl 0.5000 0.0000 0.7517


Record 3
DFT (GGA-PBE) results for an optimized crystal structure of Ba3LiTl2O6.

Results
E_tot in eV/atom: -5.03
Raw formation energy in eV per formula unit: -18.152
Total moment in Bohr magnetons per cell: 0.0

Cell lengths 6.2593, 6.2593, 6.8511 Å; angles 90.00, 90.00, 120.00 degrees
Element x y z (fractional)
Ba 0.0000 0.0000 0.0000
Ba 0.3333 0.6667 0.6160
Ba 0.6667 0.3333 0.3840
Li 0.0000 0.0000 0.5000
Tl 0.3333 0.6667 0.1400
Tl 0.6667 0.3333 0.8600
O 0.1647 0.3295 0.3062
O 0.1647 0.8353 0.3062
O 0.3295 0.1647 0.6938
O 0.6705 0.8353 0.3062
O 0.8353 0.1647 0.6938
O 0.8353 0.6705 0.6938


Record 4
DFT (GGA-PBE) results for an optimized crystal structure of RePd2Pb.

Results
ΔE_f in eV per atom: 0.7351
E_tot in eV/atom: -5.90
Total moment in Bohr magnetons per cell: 7.9

Cell lengths 4.0188, 4.0188, 18.9243 Å; angles 90.00, 90.00, 90.00 degrees
Element x y z (fractional)
Re 0.0000 0.0000 0.0000
Re 0.0000 0.5000 0.2500
Re 0.5000 0.0000 0.7500
Re 0.5000 0.5000 0.5000
Pd 0.2330 0.2500 0.1250
Pd 0.2500 0.7330 0.3750
Pd 0.2500 0.7670 0.8750
Pd 0.2670 0.2500 0.6250
Pd 0.7330 0.7500 0.6250
Pd 0.7500 0.2330 0.8750
Pd 0.7500 0.2670 0.3750
Pd 0.7670 0.7500 0.1250
Pb 0.0000 0.0000 0.5000
Pb 0.0000 0.5000 0.7500
Pb 0.5000 0.0000 0.2500
Pb 0.5000 0.5000 0.0000


Record 5
DFT (GGA-PBE) results for an optimized crystal structure of NiRh2.

Results
ΔE_f in eV per atom: 0.0604
E_tot in eV/atom: -6.77
Total moment in Bohr magnetons per cell: 6.7
Polymorph energy (0 for the lowest one) in eV/f.u.: 0.06

Cell lengths 9.7519, 2.6844, 6.3355 Å; angles 90.00, 104.20, 90.00 degrees
Element x y z (fractional)
Ni 0.0000 0.0000 0.0000
Ni 0.1648 0.5000 0.3253
Ni 0.5000 0.5000 0.0000
Ni 0.6648 0.0000 0.3253
Rh 0.0575 0.0000 0.6071
Rh 0.2202 0.5000 0.9474
Rh 0.3336 0.0000 0.6641
Rh 0.3892 0.0000 0.2724
Rh 0.5575 0.5000 0.6071
Rh 0.7202 0.0000 0.9474
Rh 0.8336 0.5000 0.6641
Rh 0.8892 0.5000 0.2724


Record 6
DFT (GGA-PBE) results for an optimized crystal structure of CeThTePb.

Results
E_tot in eV/atom: -5.72
Raw formation energy in eV per formula unit: -2.685
Total moment in Bohr magnetons per cell: 5.7
Polymorph energy (0 for the lowest one) in eV/f.u.: 0.38

Cell lengths 7.7755, 7.7755, 7.7755 Å; angles 90.00, 90.00, 90.00 degrees
Element x y z (fractional)
Ce 0.0000 0.0000 0.0000
Ce 0.0000 0.5000 0.5000
Ce 0.5000 0.0000 0.5000
Ce 0.5000 0.5000 0.0000
Th 0.0000 0.0000 0.5000
Th 0.0000 0.5000 0.0000
Th 0.5000 0.0000 0.0000
Th 0.5000 0.5000 0.5000
Te 0.2500 0.2500 0.7500
Te 0.2500 0.7500 0.2500
Te 0.7500 0.2500 0.2500
Te 0.7500 0.7500 0.7500
Pb 0.2500 0.2500 0.2500
Pb 0.2500 0.7500 0.7500
Pb 0.7500 0.2500 0.7500
Pb 0.7500 0.7500 0.2500


no.,DOS(E_F) (states/eV/f.u.)
1,3.54
2,3.91
3,4.91
4,3.11
5,4.68
6,6.41